(1)
Compound: Co17Re12
Source: the Open Quantum Materials Database
Functional: PBE
Structure: optimized geometry

Lattice parameters (Å, degrees): 7.773 7.773 7.773 109.47 109.47 109.47
Fractional coordinates of all 29 atoms:
Co: 0.000 0.000 0.000
Co: 0.000 0.000 0.651
Co: 0.000 0.188 0.367
Co: 0.000 0.367 0.188
Co: 0.000 0.651 0.000
Co: 0.180 0.812 0.812
Co: 0.188 0.000 0.367
Co: 0.188 0.367 0.000
Co: 0.349 0.349 0.349
Co: 0.367 0.000 0.188
Co: 0.367 0.188 0.000
Co: 0.633 0.633 0.820
Co: 0.633 0.820 0.633
Co: 0.651 0.000 0.000
Co: 0.812 0.180 0.812
Co: 0.812 0.812 0.180
Co: 0.820 0.633 0.633
Re: 0.000 0.404 0.691
Re: 0.000 0.691 0.404
Re: 0.287 0.596 0.596
Re: 0.309 0.309 0.713
Re: 0.309 0.713 0.309
Re: 0.404 0.000 0.691
Re: 0.404 0.691 0.000
Re: 0.596 0.287 0.596
Re: 0.596 0.596 0.287
Re: 0.691 0.000 0.404
Re: 0.691 0.404 0.000
Re: 0.713 0.309 0.309

## Properties
Energy of formation from the pure elements, kJ per mole of atoms: 17

(2)
Compound: CoRe2
Source: the Open Quantum Materials Database
Functional: PBE
Structure: optimized geometry

Lattice parameters (Å, degrees): 9.092 9.092 4.838 90.00 90.00 90.00
Fractional coordinates of all 30 atoms:
Co: 0.000 0.000 0.000
Co: 0.064 0.257 0.000
Co: 0.243 0.564 0.500
Co: 0.257 0.064 0.000
Co: 0.436 0.757 0.500
Co: 0.500 0.500 0.500
Co: 0.564 0.243 0.500
Co: 0.743 0.936 0.000
Co: 0.757 0.436 0.500
Co: 0.936 0.743 0.000
Re: 0.036 0.366 0.500
Re: 0.097 0.097 0.500
Re: 0.134 0.536 0.000
Re: 0.185 0.815 0.250
Re: 0.185 0.815 0.750
Re: 0.315 0.315 0.250
Re: 0.315 0.315 0.750
Re: 0.366 0.036 0.500
Re: 0.403 0.597 0.000
Re: 0.464 0.866 0.000
Re: 0.536 0.134 0.000
Re: 0.597 0.403 0.000
Re: 0.634 0.964 0.500
Re: 0.685 0.685 0.250
Re: 0.685 0.685 0.750
Re: 0.815 0.185 0.250
Re: 0.815 0.185 0.750
Re: 0.866 0.464 0.000
Re: 0.903 0.903 0.500
Re: 0.964 0.634 0.500

## Properties
Energy of formation from the pure elements, kJ per mole of atoms: 3

(3)
Compound: Co9Re4
Source: the Open Quantum Materials Database
Functional: PBE
Structure: optimized geometry

Lattice parameters (Å, degrees): 8.684 8.684 8.684 30.89 30.89 30.89
Fractional coordinates of all 13 atoms:
Co: 0.000 0.000 0.000
Co: 0.093 0.093 0.588
Co: 0.093 0.588 0.093
Co: 0.347 0.347 0.347
Co: 0.412 0.907 0.907
Co: 0.588 0.093 0.093
Co: 0.653 0.653 0.653
Co: 0.907 0.412 0.907
Co: 0.907 0.907 0.412
Re: 0.163 0.163 0.163
Re: 0.449 0.449 0.449
Re: 0.551 0.551 0.551
Re: 0.837 0.837 0.837

## Properties
Energy of formation from the pure elements, kJ per mole of atoms: 10

(4)
Compound: Co4Re25
Source: the Open Quantum Materials Database
Functional: PBE
Structure: optimized geometry

Lattice parameters (Å, degrees): 8.244 8.244 8.244 109.47 109.47 109.47
Fractional coordinates of all 29 atoms:
Co: 0.000 0.000 0.683
Co: 0.000 0.683 0.000
Co: 0.317 0.317 0.317
Co: 0.683 0.000 0.000
Re: 0.000 0.000 0.000
Re: 0.000 0.195 0.378
Re: 0.000 0.378 0.195
Re: 0.000 0.403 0.687
Re: 0.000 0.687 0.403
Re: 0.183 0.805 0.805
Re: 0.195 0.000 0.378
Re: 0.195 0.378 0.000
Re: 0.284 0.597 0.597
Re: 0.313 0.313 0.716
Re: 0.313 0.716 0.313
Re: 0.378 0.000 0.195
Re: 0.378 0.195 0.000
Re: 0.403 0.000 0.687
Re: 0.403 0.687 0.000
Re: 0.597 0.284 0.597
Re: 0.597 0.597 0.284
Re: 0.622 0.622 0.817
Re: 0.622 0.817 0.622
Re: 0.687 0.000 0.403
Re: 0.687 0.403 0.000
Re: 0.716 0.313 0.313
Re: 0.805 0.183 0.805
Re: 0.805 0.805 0.183
Re: 0.817 0.622 0.622

## Properties
Energy of formation from the pure elements, kJ per mole of atoms: 8

(5)
Compound: CoRe2
Source: the Open Quantum Materials Database
Functional: PBE
Structure: optimized geometry

Lattice parameters (Å, degrees): 9.314 9.314 4.753 90.00 90.00 90.00
Fractional coordinates of all 30 atoms:
Co: 0.000 0.000 0.000
Co: 0.180 0.180 0.249
Co: 0.180 0.180 0.751
Co: 0.320 0.680 0.251
Co: 0.320 0.680 0.749
Co: 0.500 0.500 0.500
Co: 0.680 0.320 0.251
Co: 0.680 0.320 0.749
Co: 0.820 0.820 0.249
Co: 0.820 0.820 0.751
Re: 0.031 0.637 0.500
Re: 0.063 0.743 0.000
Re: 0.096 0.904 0.500
Re: 0.137 0.469 0.000
Re: 0.243 0.437 0.500
Re: 0.257 0.937 0.000
Re: 0.363 0.969 0.500
Re: 0.404 0.404 0.000
Re: 0.437 0.243 0.500
Re: 0.469 0.137 0.000
Re: 0.531 0.863 0.000
Re: 0.563 0.757 0.500
Re: 0.596 0.596 0.000
Re: 0.637 0.031 0.500
Re: 0.743 0.063 0.000
Re: 0.757 0.563 0.500
Re: 0.863 0.531 0.000
Re: 0.904 0.096 0.500
Re: 0.937 0.257 0.000
Re: 0.969 0.363 0.500

## Properties
Energy of formation from the pure elements, kJ per mole of atoms: 10

(6)
Compound: Co11Re4
Source: the Open Quantum Materials Database
Functional: PBE
Structure: optimized geometry

Lattice parameters (Å, degrees): 8.805 8.805 4.560 90.00 90.00 90.00
Fractional coordinates of all 30 atoms:
Co: 0.000 0.000 0.000
Co: 0.067 0.253 0.000
Co: 0.093 0.093 0.500
Co: 0.181 0.819 0.251
Co: 0.181 0.819 0.749
Co: 0.247 0.567 0.500
Co: 0.253 0.067 0.000
Co: 0.319 0.319 0.249
Co: 0.319 0.319 0.751
Co: 0.407 0.593 0.000
Co: 0.433 0.753 0.500
Co: 0.500 0.500 0.500
Co: 0.567 0.247 0.500
Co: 0.593 0.407 0.000
Co: 0.681 0.681 0.249
Co: 0.681 0.681 0.751
Co: 0.747 0.933 0.000
Co: 0.753 0.433 0.500
Co: 0.819 0.181 0.251
Co: 0.819 0.181 0.749
Co: 0.907 0.907 0.500
Co: 0.933 0.747 0.000
Re: 0.037 0.363 0.500
Re: 0.137 0.537 0.000
Re: 0.363 0.037 0.500
Re: 0.463 0.863 0.000
Re: 0.537 0.137 0.000
Re: 0.637 0.963 0.500
Re: 0.863 0.463 0.000
Re: 0.963 0.637 0.500

## Properties
Energy of formation from the pure elements, kJ per mole of atoms: 11

(7)
Compound: Co5Re8
Source: the Open Quantum Materials Database
Functional: PBE
Structure: optimized geometry

Lattice parameters (Å, degrees): 8.993 8.993 8.993 32.35 32.35 32.35
Fractional coordinates of all 13 atoms:
Co: 0.000 0.000 0.000
Co: 0.165 0.165 0.165
Co: 0.345 0.345 0.345
Co: 0.655 0.655 0.655
Co: 0.835 0.835 0.835
Re: 0.091 0.091 0.585
Re: 0.091 0.585 0.091
Re: 0.415 0.909 0.909
Re: 0.451 0.451 0.451
Re: 0.549 0.549 0.549
Re: 0.585 0.091 0.091
Re: 0.909 0.415 0.909
Re: 0.909 0.909 0.415

## Properties
Energy of formation from the pure elements, kJ per mole of atoms: 32

(8)
Compound: CoRe5
Source: the Open Quantum Materials Database
Functional: PBE
Structure: optimized geometry

Lattice parameters (Å, degrees): 4.942 4.942 8.097 90.00 90.00 118.76
Fractional coordinates of all 12 atoms:
Co: 0.169 0.831 0.750
Co: 0.831 0.169 0.250
Re: 0.000 0.000 0.000
Re: 0.000 0.000 0.500
Re: 0.171 0.352 0.750
Re: 0.335 0.665 0.069
Re: 0.335 0.665 0.431
Re: 0.352 0.171 0.250
Re: 0.648 0.829 0.750
Re: 0.665 0.335 0.569
Re: 0.665 0.335 0.931
Re: 0.829 0.648 0.250

## Properties
Energy of formation from the pure elements, kJ per mole of atoms: 20

(9)
Compound: Co13Re16
Source: the Open Quantum Materials Database
Functional: PBE
Structure: optimized geometry

Lattice parameters (Å, degrees): 7.933 7.933 7.933 109.47 109.47 109.47
Fractional coordinates of all 29 atoms:
Co: 0.000 0.000 0.000
Co: 0.000 0.400 0.682
Co: 0.000 0.682 0.400
Co: 0.282 0.600 0.600
Co: 0.318 0.318 0.718
Co: 0.318 0.718 0.318
Co: 0.400 0.000 0.682
Co: 0.400 0.682 0.000
Co: 0.600 0.282 0.600
Co: 0.600 0.600 0.282
Co: 0.682 0.000 0.400
Co: 0.682 0.400 0.000
Co: 0.718 0.318 0.318
Re: 0.000 0.000 0.650
Re: 0.000 0.200 0.387
Re: 0.000 0.387 0.200
Re: 0.000 0.650 0.000
Re: 0.187 0.800 0.800
Re: 0.200 0.000 0.387
Re: 0.200 0.387 0.000
Re: 0.350 0.350 0.350
Re: 0.387 0.000 0.200
Re: 0.387 0.200 0.000
Re: 0.613 0.613 0.813
Re: 0.613 0.813 0.613
Re: 0.650 0.000 0.000
Re: 0.800 0.187 0.800
Re: 0.800 0.800 0.187
Re: 0.813 0.613 0.613

## Properties
Energy of formation from the pure elements, kJ per mole of atoms: 17

(10)
Compound: Co11Re4
Source: the Open Quantum Materials Database
Functional: PBE
Structure: optimized geometry

Lattice parameters (Å, degrees): 8.649 8.649 4.795 90.00 90.00 90.00
Fractional coordinates of all 30 atoms:
Co: 0.000 0.000 0.000
Co: 0.039 0.366 0.500
Co: 0.064 0.265 0.000
Co: 0.097 0.097 0.500
Co: 0.134 0.539 0.000
Co: 0.235 0.564 0.500
Co: 0.265 0.064 0.000
Co: 0.366 0.039 0.500
Co: 0.403 0.597 0.000
Co: 0.436 0.765 0.500
Co: 0.461 0.866 0.000
Co: 0.500 0.500 0.500
Co: 0.539 0.134 0.000
Co: 0.564 0.235 0.500
Co: 0.597 0.403 0.000
Co: 0.634 0.961 0.500
Co: 0.735 0.936 0.000
Co: 0.765 0.436 0.500
Co: 0.866 0.461 0.000
Co: 0.903 0.903 0.500
Co: 0.936 0.735 0.000
Co: 0.961 0.634 0.500
Re: 0.184 0.816 0.250
Re: 0.184 0.816 0.750
Re: 0.316 0.316 0.250
Re: 0.316 0.316 0.750
Re: 0.684 0.684 0.250
Re: 0.684 0.684 0.750
Re: 0.816 0.184 0.250
Re: 0.816 0.184 0.750

## Properties
Energy of formation from the pure elements, kJ per mole of atoms: 17

(11)
Compound: Co3Re
Source: the Open Quantum Materials Database
Functional: PBE
Structure: optimized geometry

Lattice parameters (Å, degrees): 3.564 3.564 3.564 90.00 90.00 90.00
Fractional coordinates of all 4 atoms:
Co: 0.000 0.000 0.500
Co: 0.000 0.500 0.000
Co: 0.500 0.000 0.000
Re: 0.500 0.500 0.500

## Properties
Energy of formation from the pure elements, kJ per mole of atoms: 9

(12)
Compound: CoRe2
Source: the Open Quantum Materials Database
Functional: PBE
Structure: optimized geometry

Lattice parameters (Å, degrees): 5.043 5.043 5.043 60.00 60.00 60.00
Fractional coordinates of all 6 atoms:
Co: 0.125 0.125 0.125
Co: 0.875 0.875 0.875
Re: 0.000 0.500 0.500
Re: 0.500 0.000 0.500
Re: 0.500 0.500 0.000
Re: 0.500 0.500 0.500

## Properties
Energy of formation from the pure elements, kJ per mole of atoms: 67

(13)
Compound: Co3Re
Source: the Open Quantum Materials Database
Functional: PBE
Structure: optimized geometry

Lattice parameters (Å, degrees): 4.361 4.361 4.361 131.70 131.70 70.71
Fractional coordinates of all 4 atoms:
Co: 0.000 0.000 0.000
Co: 0.250 0.750 0.500
Co: 0.750 0.250 0.500
Re: 0.500 0.500 0.000

## Properties
Energy of formation from the pure elements, kJ per mole of atoms: 3

(14)
Compound: CoRe4
Source: the Open Quantum Materials Database
Functional: PBE
Structure: optimized geometry

Lattice parameters (Å, degrees): 9.381 9.381 4.895 90.00 90.00 90.00
Fractional coordinates of all 30 atoms:
Co: 0.000 0.000 0.000
Co: 0.088 0.088 0.500
Co: 0.412 0.588 0.000
Co: 0.500 0.500 0.500
Co: 0.588 0.412 0.000
Co: 0.912 0.912 0.500
Re: 0.036 0.364 0.500
Re: 0.066 0.255 0.000
Re: 0.136 0.536 0.000
Re: 0.178 0.822 0.252
Re: 0.178 0.822 0.748
Re: 0.245 0.566 0.500
Re: 0.255 0.066 0.000
Re: 0.322 0.322 0.248
Re: 0.322 0.322 0.752
Re: 0.364 0.036 0.500
Re: 0.434 0.755 0.500
Re: 0.464 0.864 0.000
Re: 0.536 0.136 0.000
Re: 0.566 0.245 0.500
Re: 0.636 0.964 0.500
Re: 0.678 0.678 0.248
Re: 0.678 0.678 0.752
Re: 0.745 0.934 0.000
Re: 0.755 0.434 0.500
Re: 0.822 0.178 0.252
Re: 0.822 0.178 0.748
Re: 0.864 0.464 0.000
Re: 0.934 0.745 0.000
Re: 0.964 0.636 0.500

## Properties
Energy of formation from the pure elements, kJ per mole of atoms: 13

(15)
Compound: Co7Re6
Source: the Open Quantum Materials Database
Functional: PBE
Structure: optimized geometry

Lattice parameters (Å, degrees): 8.860 8.860 8.860 30.38 30.38 30.38
Fractional coordinates of all 13 atoms:
Co: 0.000 0.000 0.000
Co: 0.090 0.090 0.589
Co: 0.090 0.589 0.090
Co: 0.411 0.910 0.910
Co: 0.589 0.090 0.090
Co: 0.910 0.411 0.910
Co: 0.910 0.910 0.411
Re: 0.166 0.166 0.166
Re: 0.347 0.347 0.347
Re: 0.452 0.452 0.452
Re: 0.548 0.548 0.548
Re: 0.653 0.653 0.653
Re: 0.834 0.834 0.834

## Properties
Energy of formation from the pure elements, kJ per mole of atoms: 0